# 1
# ZrSnO2 | Alexandria | PBE | optimized geometry
data_ZrSnO2
_chemical_formula_sum 'Zr3 Sn3 O6'
_space_group_name_H-M_alt 'R -3 m'
_space_group_IT_number 166
_space_group_name_Hall '-R 3 2"'
_cell_length_a 3.2517
_cell_length_b 3.2517
_cell_length_c 24.5832
_cell_angle_alpha 90.00
_cell_angle_beta 90.00
_cell_angle_gamma 120.00
loop_
_atom_site_label
_atom_site_fract_x
_atom_site_fract_y
_atom_site_fract_z
Zr1 0.0000 0.0000 0.0000
Sn1 0.0000 0.0000 0.5000
O1 0.0000 0.0000 0.3740
# crystal system	trigonal
# ΔE_f (raw)	-2169	meV/atom
# calculated volume	75.03	Å³/f.u.

# 2
# TbYGa | Alexandria | PBE | optimized geometry
data_TbYGa
_chemical_formula_sum 'Tb1 Y1 Ga1'
_space_group_name_H-M_alt 'P 3 m 1'
_space_group_IT_number 156
_space_group_name_Hall 'P 3 -2"'
_cell_length_a 4.9769
_cell_length_b 4.9769
_cell_length_c 3.6849
_cell_angle_alpha 90.00
_cell_angle_beta 90.00
_cell_angle_gamma 120.00
loop_
_atom_site_label
_atom_site_fract_x
_atom_site_fract_y
_atom_site_fract_z
Tb1 0.0000 0.0000 0.0000
Y1 0.6667 0.3333 0.5372
Ga1 0.3333 0.6667 0.2714
# crystal system	trigonal
# relative energy among the computed polymorphs	0.386	eV per formula unit
# calculated volume	79.04	Å³/f.u.

# 3
# TlVPb3 | Alexandria | PBE | optimized geometry
data_TlVPb3
_chemical_formula_sum 'Tl1 V1 Pb3'
_space_group_name_H-M_alt 'P m -3 m'
_space_group_IT_number 221
_space_group_name_Hall '-P 4 2 3'
_cell_length_a 5.349
_cell_length_b 5.349
_cell_length_c 5.349
_cell_angle_alpha 90.00
_cell_angle_beta 90.00
_cell_angle_gamma 90.00
loop_
_atom_site_label
_atom_site_fract_x
_atom_site_fract_y
_atom_site_fract_z
Tl1 0.000 0.000 0.000
V1 0.500 0.500 0.500
Pb1 0.000 0.500 0.500
# crystal system	cubic
# relative energy among the computed polymorphs	0.000	eV per formula unit
# calculated volume	153.09	Å³/f.u.

# 4
# CeErTh2As4 | Alexandria | PBE | optimized geometry
data_CeErTh2As4
_chemical_formula_sum 'Ce1 Er1 Th2 As4'
_space_group_name_H-M_alt 'P 1 2/m 1'
_space_group_IT_number 10
_space_group_name_Hall '-P 2y'
_cell_length_a 7.268
_cell_length_b 4.211
_cell_length_c 7.289
_cell_angle_alpha 90.00
_cell_angle_beta 109.56
_cell_angle_gamma 90.00
loop_
_atom_site_label
_atom_site_fract_x
_atom_site_fract_y
_atom_site_fract_z
Ce1 0.000 0.000 0.000
Er1 0.000 0.500 0.500
Th1 0.500 0.000 0.500
Th2 0.500 0.500 0.000
As1 0.242 0.000 0.744
As2 0.244 0.500 0.251
# crystal system	monoclinic
# calculated volume	210.21	Å³/f.u.
# calculated total energy	-6.929	eV/atom

What did the first record say?
# ZrSnO2 | Alexandria | PBE | optimized geometry
data_ZrSnO2
_chemical_formula_sum 'Zr3 Sn3 O6'
_space_group_name_H-M_alt 'R -3 m'
_space_group_IT_number 166
_space_group_name_Hall '-R 3 2"'
_cell_length_a 3.2517
_cell_length_b 3.2517
_cell_length_c 24.5832
_cell_angle_alpha 90.00
_cell_angle_beta 90.00
_cell_angle_gamma 120.00
loop_
_atom_site_label
_atom_site_fract_x
_atom_site_fract_y
_atom_site_fract_z
Zr1 0.0000 0.0000 0.0000
Sn1 0.0000 0.0000 0.5000
O1 0.0000 0.0000 0.3740
# crystal system	trigonal
# ΔE_f (raw)	-2169	meV/atom
# calculated volume	75.03	Å³/f.u.

Copy entry 1 word for word.
# ZrSnO2 | Alexandria | PBE | optimized geometry
data_ZrSnO2
_chemical_formula_sum 'Zr3 Sn3 O6'
_space_group_name_H-M_alt 'R -3 m'
_space_group_IT_number 166
_space_group_name_Hall '-R 3 2"'
_cell_length_a 3.2517
_cell_length_b 3.2517
_cell_length_c 24.5832
_cell_angle_alpha 90.00
_cell_angle_beta 90.00
_cell_angle_gamma 120.00
loop_
_atom_site_label
_atom_site_fract_x
_atom_site_fract_y
_atom_site_fract_z
Zr1 0.0000 0.0000 0.0000
Sn1 0.0000 0.0000 0.5000
O1 0.0000 0.0000 0.3740
# crystal system	trigonal
# ΔE_f (raw)	-2169	meV/atom
# calculated volume	75.03	Å³/f.u.

Look up the calculated volume of the second one.
79.04 Å³/f.u.

What is the formula in the second record?
TbYGa